DFT (PBE+U) results for a relaxed NdV2SnO8 crystal.

Density (g/cm³): 4.14
Total moment (μB per formula unit): 0.000
Space-group type: No. 164
VASP energy (eV per atom): -7.284

```
12
Lattice="5.874 0.000 0.000 -2.937 5.087 0.000 0.000 0.000 6.615" Properties=species:S:1:pos:R:3 pbc="T T T"
O 1.441 0.833 1.603
O 4.432 0.832 1.603
O 2.938 3.423 1.603
O -1.495 4.256 5.013
O 2.937 1.696 6.073
O 0.000 3.392 0.542
O 1.496 4.254 5.013
O -0.001 1.664 5.013
Nd 0.000 0.000 3.308
V 0.000 3.392 5.525
V 2.937 1.696 1.090
Sn 0.000 0.000 0.000
```